# 1
Entry from the Alexandria database: a geometry-optimized PmZrBi2 structure (PBE).

Calculated values
Its density of states at the Fermi level is 7.1 states/eV/cell. As for the formation energy: -0.559 eV/atom. The energy above the most stable polymorph in this dataset is 0.00 kcal/mol of atoms.

a = 4.3852 Å, b = 4.3852 Å, c = 21.7568 Å
α = 90.00°, β = 90.00°, γ = 120.00°
Space group R-3m (No. 166, hexagonal axes)
Unique sites:
Pm (0.0000, 0.0000, 0.0000) [3 per cell]
Zr (0.0000, 0.0000, 0.5000) [3 per cell]
Bi (0.0000, 0.0000, 0.2435) [6 per cell]


# 2
Entry from the Alexandria database: a geometry-optimized LiNdZnAg3 structure (PBE).

Calculated values
Its density of states at the Fermi level is 9.9 states/eV/cell. As for the formation energy: -0.109 eV/atom.

a = 6.132 Å, b = 13.112 Å, c = 5.990 Å
α = 90.00°, β = 90.00°, γ = 90.00°
Space group Cmcm (No. 63)
Unique sites:
Li (0.000, 0.081, 0.250) [4 per cell]
Nd (0.000, 0.300, 0.250) [4 per cell]
Zn (0.000, 0.355, 0.750) [4 per cell]
Ag (0.000, 0.149, 0.750) [4 per cell]
Ag (0.225, 0.500, 0.000) [8 per cell]


# 3
Entry from the Alexandria database: a geometry-optimized In2ReIr structure (PBE).

Calculated values
Its density of states at the Fermi level is 13.1 states/eV/cell. As for the formation energy: 0.298 eV/atom. The energy above the most stable polymorph in this dataset is 4.36 kcal/mol of atoms.

a = 2.9902 Å, b = 2.9902 Å, c = 28.1377 Å
α = 90.00°, β = 90.00°, γ = 120.00°
Space group R3m (No. 160, hexagonal axes)
Unique sites:
In (0.0000, 0.0000, 0.0000) [3 per cell]
In (0.0000, 0.0000, 0.2372) [3 per cell]
Re (0.0000, 0.0000, 0.4868) [3 per cell]
Ir (0.0000, 0.0000, 0.7486) [3 per cell]